VASP calculation (PBE with a Hubbard U) on a relaxed structure of VCdCO5.

Cell and atoms, written as extended XYZ:
```
16
Lattice="-2.867 -2.843 -3.292 1.249 -3.284 3.846 -4.504 4.400 2.869" Properties=species:S:1:pos:R:3 pbc="T T T"
O -2.695 -0.978 4.167
O -3.203 -2.298 0.944
O -1.324 -1.558 -0.094
O -4.798 -0.168 3.518
O -5.934 0.424 -0.601
O -3.428 -0.748 -0.743
O -2.749 -2.932 -1.269
O -2.919 0.572 2.480
O -0.188 -2.150 4.025
O -3.373 1.205 4.692
Cd -1.282 -2.033 2.127
Cd -4.840 0.307 1.297
V -2.252 2.200 1.434
V 0.000 0.000 0.000
C -3.428 0.156 3.745
C -2.694 -1.882 -0.322
```

Values from the calculation:
**Spin magnetization**: 2.00 μB/cell
**Uncorrected energy**: -6.67 eV per atom
**SG**: C2/c, No. 15